Entry 1:
Computed, not measured: crystalline BaCaBe2N at its relaxed geometry at the PBE level of DFT.

Calculated values
Final energy in eV per atom: -2.497
ΔE_f (raw) in eV per atom: 1.44
Magnetic moment in Bohr magnetons per cell: 0.0

Unit cell a=5.478 b=5.478 c=4.582 alpha=90.00 beta=90.00 gamma=90.00
Space group P4/mmm (No. 123)
Inequivalent atoms, fractional coordinates:
Ba (0.000, 0.000, 0.000) (multiplicity 1)
Ca (0.500, 0.500, 0.500) (multiplicity 1)
Be (0.000, 0.500, 0.000) (multiplicity 2)
N (0.000, 0.000, 0.500) (multiplicity 1)

=====

Entry 2:
Computed, not measured: crystalline BeAlAg2 at its relaxed geometry at the PBE level of DFT.

Calculated values
ΔE_f in meV/atom: 91
Final energy in eV per atom: -3.202
Magnetic moment in Bohr magnetons per cell: 0.0

Unit cell a=6.178 b=6.178 c=6.178 alpha=90.00 beta=90.00 gamma=90.00
Space group Fm-3m (No. 225)
Inequivalent atoms, fractional coordinates:
Be (0.000, 0.000, 0.000) (multiplicity 4)
Al (0.000, 0.000, 0.500) (multiplicity 4)
Ag (0.250, 0.250, 0.250) (multiplicity 8)

=====

Entry 3:
Computed, not measured: crystalline TlNiHg2 at its relaxed geometry at the PBE level of DFT.

Calculated values
ΔE_f in meV/atom: 222
Final energy in eV per atom: -1.965
Magnetic moment in Bohr magnetons per cell: 0.0

Unit cell a=3.3600 b=3.3600 c=27.4381 alpha=90.00 beta=90.00 gamma=120.00
Space group R-3m (No. 166, hexagonal axes)
Inequivalent atoms, fractional coordinates:
Tl (0.0000, 0.0000, 0.0000) (multiplicity 3)
Ni (0.0000, 0.0000, 0.5000) (multiplicity 3)
Hg (0.0000, 0.0000, 0.2337) (multiplicity 6)

=====

Entry 4:
Computed, not measured: crystalline Dy3Cd2Ga at its relaxed geometry at the PBE level of DFT.

Calculated values
ΔE_f in meV/atom: -406
Final energy in eV per atom: -3.516
Magnetic moment in Bohr magnetons per cell: 0.0

Unit cell a=3.658 b=3.658 c=11.212 alpha=90.00 beta=90.00 gamma=90.00
Space group P4/mmm (No. 123)
Inequivalent atoms, fractional coordinates:
Dy (0.000, 0.000, 0.000) (multiplicity 1)
Dy (0.000, 0.000, 0.346) (multiplicity 2)
Cd (0.500, 0.500, 0.170) (multiplicity 2)
Ga (0.500, 0.500, 0.500) (multiplicity 1)

=====

Entry 5:
Computed, not measured: crystalline ZrCu2Ag at its relaxed geometry at the PBE level of DFT.

Calculated values
ΔE_f in meV/atom: 472
Final energy in eV per atom: -4.426
Magnetic moment in Bohr magnetons per cell: 0.0

Unit cell a=2.744 b=4.972 c=10.563 alpha=90.00 beta=90.00 gamma=90.00
Space group Immm (No. 71)
Inequivalent atoms, fractional coordinates:
Zr (0.000, 0.000, 0.000) (multiplicity 2)
Cu (0.000, 0.000, 0.256) (multiplicity 4)
Ag (0.000, 0.000, 0.500) (multiplicity 2)

=====

Entry 6:
Computed, not measured: crystalline Ba2PmPtO5 at its relaxed geometry at the PBE level of DFT.

Calculated values
Final energy in eV per atom: -6.302
ΔE_f (raw) in eV per atom: -1.92
Magnetic moment in Bohr magnetons per cell: 2.2

Unit cell a=6.839 b=6.839 c=6.415 alpha=90.00 beta=90.00 gamma=90.00
Space group P4/mbm (No. 127)
Inequivalent atoms, fractional coordinates:
Ba (0.167, 0.333, 0.000) (multiplicity 4)
Pm (0.000, 0.000, 0.500) (multiplicity 2)
Pt (0.000, 0.500, 0.500) (multiplicity 2)
O (0.000, 0.000, 0.000) (multiplicity 2)
O (0.157, 0.657, 0.299) (multiplicity 8)

=====

Entry 7:
Computed, not measured: crystalline Zn2SbN3 at its relaxed geometry at the PBE level of DFT.

Calculated values
Final energy in eV per atom: -5.123
ΔE_f (raw) in eV per atom: 0.15
Magnetic moment in Bohr magnetons per cell: 0.0

Unit cell a=10.107 b=5.824 c=5.466 alpha=90.00 beta=90.00 gamma=90.00
Space group Cmc2_1 (No. 36)
Inequivalent atoms, fractional coordinates:
Zn (0.172, 0.163, 0.000) (multiplicity 8)
Sb (0.000, 0.322, 0.488) (multiplicity 4)
N (0.000, 0.342, 0.867) (multiplicity 4)
N (0.165, 0.168, 0.375) (multiplicity 8)

=====

Entry 8:
Computed, not measured: crystalline PuThPSe at its relaxed geometry at the PBE level of DFT.

Calculated values
Final energy in eV per atom: -9.172
ΔE_f (raw) in eV per atom: -1.51
Magnetic moment in Bohr magnetons per cell: 16.6

Unit cell a=4.1113 b=4.1113 c=20.4190 alpha=90.00 beta=90.00 gamma=120.00
Space group R3m (No. 160, hexagonal axes)
Inequivalent atoms, fractional coordinates:
Pu (0.0000, 0.0000, 0.0000) (multiplicity 3)
Th (0.0000, 0.0000, 0.4878) (multiplicity 3)
P (0.0000, 0.0000, 0.7414) (multiplicity 3)
Se (0.0000, 0.0000, 0.2469) (multiplicity 3)

=====

Entry 9:
Computed, not measured: crystalline CeMg5Au3 at its relaxed geometry at the PBE level of DFT.

Calculated values
ΔE_f in meV/atom: -436
Final energy in eV per atom: -3.073
Magnetic moment in Bohr magnetons per cell: 4.7

Unit cell a=3.958 b=14.763 c=13.745 alpha=90.00 beta=90.00 gamma=90.00
Space group Cmcm (No. 63)
Inequivalent atoms, fractional coordinates:
Ce (0.000, 0.169, 0.250) (multiplicity 4)
Mg (0.000, 0.000, 0.000) (multiplicity 4)
Mg (0.000, 0.198, 0.560) (multiplicity 8)
Mg (0.000, 0.444, 0.147) (multiplicity 8)
Au (0.000, 0.149, 0.750) (multiplicity 4)
Au (0.000, 0.382, 0.567) (multiplicity 8)

=====

Entry 10:
Computed, not measured: crystalline Pu2FeNi3Ge4 at its relaxed geometry at the PBE level of DFT.

Calculated values
ΔE_f in meV/atom: -435
Final energy in eV per atom: -7.729
Magnetic moment in Bohr magnetons per cell: 12.1

Unit cell a=4.099 b=4.099 c=9.749 alpha=90.00 beta=90.00 gamma=90.00
Space group P-4m2 (No. 115)
Inequivalent atoms, fractional coordinates:
Pu (0.000, 0.500, 0.250) (multiplicity 2)
Fe (0.000, 0.000, 0.500) (multiplicity 1)
Ni (0.000, 0.500, 0.873) (multiplicity 2)
Ni (0.500, 0.500, 0.500) (multiplicity 1)
Ge (0.000, 0.000, 0.000) (multiplicity 1)
Ge (0.000, 0.500, 0.630) (multiplicity 2)
Ge (0.500, 0.500, 0.000) (multiplicity 1)

=====

Q: Which formula does entry 6 have?
A: Ba2PmPtO5

=====

Q: Which formula does entry 8 have?
A: PuThPSe